Compound: La2SiP
Source: the Alexandria database
Functional: PBE
Structure: relaxed

a = 4.3256 Å, b = 6.1120 Å, c = 4.3234 Å
α = 90.00°, β = 90.00°, γ = 90.00°
Sites, in units of the cell vectors:
La (0.0000, 0.0000, 0.0000)
La (0.5000, 0.5000, 0.4978)
Si (0.5000, 0.0000, 0.5004)
P (0.0000, 0.5000, 0.9975)

Results
E_form (uncorrected) ... -961 meV per atom
Calculated total energy ... -24.531 eV per formula unit
Energy above the most stable polymorph in this dataset ... 198 meV/atom
Crystal system ... orthorhombic
Symmetry ... Pmm2
Total magnetic moment ... 0.00 μB/f.u.